A geometry-optimized Sm2AgS structure. Source: Alexandria via LeMat-Bulk, functional PBE.

Properties
Formation energy (no corrections) = -4.09 eV per formula unit
E = -5.128 eV per atom
Total magnetic moment = 0.0 μB per formula unit
E above lowest polymorph = 40.6 kJ/mol of formula units

a = 7.8693 Å, b = 7.8693 Å, c = 7.8693 Å
α = 29.11°, β = 29.11°, γ = 29.11°
Positions (direct):
Sm (0.0000, 0.0000, 0.0000)
Sm (0.1873, 0.1873, 0.1873)
Ag (0.4268, 0.4268, 0.4268)
S (0.5952, 0.5952, 0.5952)

A geometry-optimized CsSiTeCSe structure. Source: Alexandria via LeMat-Bulk, functional PBE.

Properties
Formation energy (no corrections) = 1.05 eV per formula unit
E = -4.215 eV per atom
Total magnetic moment = 0.0 μB per formula unit
E above lowest polymorph = 98.7 kJ/mol of formula units

a = 5.1359 Å, b = 5.4702 Å, c = 6.9019 Å
α = 90.00°, β = 100.32°, γ = 90.00°
Positions (direct):
Cs (0.0000, 0.0000, 0.0000)
Si (0.4673, 0.5000, 0.2491)
Te (0.9113, 0.5000, 0.5083)
C (0.1634, 0.5000, 0.3202)
Se (0.5044, 0.5000, 0.9353)

A geometry-optimized In3Pd structure. Source: Alexandria via LeMat-Bulk, functional PBE.

Properties
E = -3.420 eV per atom
Calculated formation energy = -68 meV/atom
Total magnetic moment = 0.0 μB per formula unit

a = 4.4396 Å, b = 4.4396 Å, c = 4.4396 Å
α = 90.00°, β = 90.00°, γ = 90.00°
Positions (direct):
In (0.0000, 0.0000, 0.5000)
In (0.0000, 0.5000, 0.0000)
In (0.5000, 0.0000, 0.0000)
Pd (0.5000, 0.5000, 0.5000)

A geometry-optimized Zn4Ni15Sb structure. Source: Alexandria via LeMat-Bulk, functional PBE.

Properties
Formation energy (no corrections) = -2.29 eV per formula unit
E = -4.911 eV per atom
Total magnetic moment = 5.0 μB per formula unit

a = 3.6207 Å, b = 3.6207 Å, c = 17.8652 Å
α = 90.00°, β = 90.00°, γ = 90.00°
Positions (direct):
Zn (0.0000, 0.0000, 0.0982)
Zn (0.0000, 0.0000, 0.2941)
Zn (0.0000, 0.0000, 0.7059)
Zn (0.0000, 0.0000, 0.9018)
Ni (0.0000, 0.5000, 0.0000)
Ni (0.0000, 0.5000, 0.1963)
Ni (0.0000, 0.5000, 0.3933)
Ni (0.0000, 0.5000, 0.6067)
Ni (0.0000, 0.5000, 0.8037)
Ni (0.5000, 0.0000, 0.0000)
Ni (0.5000, 0.0000, 0.1963)
Ni (0.5000, 0.0000, 0.3933)
Ni (0.5000, 0.0000, 0.6067)
Ni (0.5000, 0.0000, 0.8037)
Ni (0.5000, 0.5000, 0.0983)
Ni (0.5000, 0.5000, 0.2953)
Ni (0.5000, 0.5000, 0.5000)
Ni (0.5000, 0.5000, 0.7047)
Ni (0.5000, 0.5000, 0.9017)
Sb (0.0000, 0.0000, 0.5000)

A geometry-optimized Na2SrAs2O6 structure. Source: Alexandria via LeMat-Bulk, functional PBE.

Properties
Formation energy (no corrections) = -17.71 eV per formula unit
E = -5.552 eV per atom
Total magnetic moment = 2.0 μB per formula unit

a = 5.9285 Å, b = 5.9285 Å, c = 6.2367 Å
α = 90.00°, β = 90.00°, γ = 120.00°
Positions (direct):
Na (0.3333, 0.6667, 0.3803)
Na (0.6667, 0.3333, 0.6197)
Sr (0.0000, 0.0000, 0.0000)
As (0.3333, 0.6667, 0.8636)
As (0.6667, 0.3333, 0.1364)
O (0.0662, 0.6820, 0.7648)
O (0.3180, 0.3841, 0.7648)
O (0.3841, 0.0662, 0.2352)
O (0.6159, 0.9338, 0.7648)
O (0.6820, 0.6159, 0.2352)
O (0.9338, 0.3180, 0.2352)

A geometry-optimized Ac2La2Co structure. Source: Alexandria via LeMat-Bulk, functional PBE.

Properties
E = -4.941 eV per atom
Calculated formation energy = 95 meV/atom
Total magnetic moment = 0.0 μB per formula unit

a = 14.4537 Å, b = 14.4537 Å, c = 14.4537 Å
α = 160.10°, β = 160.10°, γ = 28.29°
Positions (direct):
Ac (0.0507, 0.3007, 0.7500)
Ac (0.3007, 0.0507, 0.2500)
Ac (0.6993, 0.9493, 0.7500)
Ac (0.9493, 0.6993, 0.2500)
La (0.1731, 0.4231, 0.7500)
La (0.4231, 0.1731, 0.2500)
La (0.5769, 0.8269, 0.7500)
La (0.8269, 0.5769, 0.2500)
Co (0.3750, 0.6250, 0.7500)
Co (0.6250, 0.3750, 0.2500)

A geometry-optimized Ac7Ir4Pt structure. Source: Alexandria via LeMat-Bulk, functional PBE.

Properties
E = -6.549 eV per atom
Calculated formation energy = -695 meV/atom
Total magnetic moment = 0.0 μB per formula unit

a = 7.4458 Å, b = 7.4458 Å, c = 12.9172 Å
α = 104.25°, β = 104.25°, γ = 33.19°
Positions (direct):
Ac (0.0000, 0.0000, 0.0000)
Ac (0.2217, 0.2217, 0.8587)
Ac (0.3065, 0.3065, 0.4331)
Ac (0.5200, 0.5200, 0.2874)
Ac (0.6095, 0.6095, 0.5952)
Ac (0.7674, 0.7674, 0.1431)
Ac (0.9189, 0.9189, 0.6944)
Ir (0.2643, 0.2643, 0.6450)
Ir (0.3799, 0.3799, 0.0702)
Ir (0.5664, 0.5664, 0.8316)
Ir (0.9596, 0.9596, 0.4550)
Pt (0.1470, 0.1470, 0.2202)

A geometry-optimized DySbS3 structure. Source: Alexandria via LeMat-Bulk, functional PBE.

Properties
Formation energy (no corrections) = -4.99 eV per formula unit
E = -5.219 eV per atom
Total magnetic moment = 0.0 μB per formula unit
E above lowest polymorph = 66.1 kJ/mol of formula units

a = 6.8034 Å, b = 6.8034 Å, c = 6.9541 Å
α = 90.00°, β = 90.00°, γ = 120.00°
Positions (direct):
Dy (0.0000, 0.0000, 0.0000)
Dy (0.0000, 0.0000, 0.5000)
Sb (0.3333, 0.6667, 0.0000)
Sb (0.3333, 0.6667, 0.5000)
S (0.0348, 0.3306, 0.2500)
S (0.0348, 0.7042, 0.7500)
S (0.2958, 0.3306, 0.7500)
S (0.2958, 0.9652, 0.2500)
S (0.6694, 0.7042, 0.2500)
S (0.6694, 0.9652, 0.7500)